Pr4InCo2, optimized geometry, DFT PBE; E = -5.173 eV per atom; magnetic moment = 0.00 μB/cell; volume = 191.3 Å³ per cell
1.0
2.4288 1.4023 9.3593
-2.4288 1.4023 9.3593
0.0000 -2.8045 9.3593
Pr In Co
4 1 2
Direct
0.1101 0.1101 0.1101
0.2964 0.2964 0.2964
0.7036 0.7036 0.7036
0.8899 0.8899 0.8899
0.5000 0.5000 0.5000
0.4038 0.4038 0.4038
0.5962 0.5962 0.5962



Pr6InCo2, optimized geometry, DFT PBE; magnetic moment = 0.00 μB/cell; energy relative to the lowest polymorph listed for this composition = 0.0 meV/atom; volume = 512.6 Å³ per cell
1.0
-4.8533 5.0925 5.1854
4.8533 -5.0925 5.1854
4.8533 5.0925 -5.1854
Pr In Co
12 2 4
Direct
0.0302 0.2345 0.7957
0.1832 0.2863 0.4694
0.1832 0.7137 0.8969
0.3233 0.0087 0.6854
0.3233 0.6378 0.3146
0.4387 0.2345 0.2043
0.5613 0.7655 0.7957
0.6767 0.3622 0.6854
0.6767 0.9913 0.3146
0.8168 0.2863 0.1031
0.8168 0.7137 0.5306
0.9698 0.7655 0.2043
0.0000 0.0000 0.0000
0.5000 0.5000 0.0000
0.1099 0.6099 0.5000
0.3364 0.0000 0.3364
0.6636 0.0000 0.6636
0.8901 0.3901 0.5000